Record 1
Density functional theory data (GGA-PBEsol) for a geometry-optimized TaSi2Ir structure.

a = 2.789 Å, b = 3.291 Å, c = 6.131 Å
α = 90.00°, β = 90.00°, γ = 90.00°
Sites, in units of the cell vectors:
Ta: 0.000 0.000 0.000
Si: 0.500 0.500 0.270
Si: 0.500 0.500 0.730
Ir: 0.000 0.000 0.500

Properties
E_tot = -8.830 eV/atom
magnetic moment = 0.000 μB per atom
raw formation energy = -0.363 eV per atom

=====

Record 2
Density functional theory data (GGA-PBEsol) for a geometry-optimized AlRePt4 structure.

a = 5.139 Å, b = 5.139 Å, c = 5.139 Å
α = 60.00°, β = 60.00°, γ = 60.00°
Sites, in units of the cell vectors:
Al: 0.000 0.000 0.000
Re: 0.750 0.750 0.750
Pt: 0.375 0.375 0.375
Pt: 0.375 0.375 0.874
Pt: 0.375 0.874 0.375
Pt: 0.874 0.375 0.375

Properties
E_tot = -7.214 eV/atom
magnetic moment = 0.367 μB per atom
formation enthalpy at 0 K = 32 kJ/mol of atoms

=====

Record 3
Density functional theory data (GGA-PBEsol) for a geometry-optimized InAu structure.

a = 3.457 Å, b = 3.457 Å, c = 24.726 Å
α = 90.00°, β = 90.00°, γ = 120.00°
Sites, in units of the cell vectors:
In: 0.000 0.000 0.117
In: 0.000 0.000 0.883
In: 0.333 0.667 0.550
In: 0.333 0.667 0.783
In: 0.667 0.333 0.217
In: 0.667 0.333 0.450
Au: 0.000 0.000 0.372
Au: 0.000 0.000 0.628
Au: 0.333 0.667 0.039
Au: 0.333 0.667 0.294
Au: 0.667 0.333 0.706
Au: 0.667 0.333 0.961

Properties
E_tot = -3.504 eV/atom
magnetic moment = 0.000 μB per atom
formation enthalpy at 0 K = -5 kJ/mol of atoms

=====

Record 4
Density functional theory data (GGA-PBEsol) for a geometry-optimized YGe3W structure.

a = 5.120 Å, b = 5.120 Å, c = 5.120 Å
α = 90.00°, β = 90.00°, γ = 90.00°
Sites, in units of the cell vectors:
Y: 0.000 0.000 0.000
Ge: 0.000 0.000 0.500
Ge: 0.000 0.500 0.000
Ge: 0.500 0.000 0.000
W: 0.500 0.500 0.500

Properties
E_tot = -5.276 eV/atom
magnetic moment = 0.671 μB per atom
formation enthalpy at 0 K = 175 kJ/mol of atoms

=====

Record 5
Density functional theory data (GGA-PBEsol) for a geometry-optimized HfScSb2N structure.

a = 4.894 Å, b = 4.894 Å, c = 4.121 Å
α = 90.00°, β = 90.00°, γ = 90.00°
Sites, in units of the cell vectors:
Hf: 0.000 0.000 0.000
Sc: 0.500 0.500 0.000
Sb: 0.000 0.500 0.500
Sb: 0.500 0.000 0.500
N: 0.000 0.000 0.500

Properties
E_tot = -7.326 eV/atom
magnetic moment = 0.000 μB per atom
raw formation energy = -0.377 eV per atom

=====

Record 6
Density functional theory data (GGA-PBEsol) for a geometry-optimized BeInOs structure.

a = 2.870 Å, b = 2.870 Å, c = 6.270 Å
α = 90.00°, β = 90.00°, γ = 120.00°
Sites, in units of the cell vectors:
Be: 0.000 0.000 0.000
In: 0.667 0.333 0.636
Os: 0.333 0.667 0.261

Properties
E_tot = -5.929 eV/atom
magnetic moment = 0.000 μB per atom
formation enthalpy at 0 K = 45 kJ/mol of atoms
relative energy among the computed polymorphs = 0.0 meV per atom

=====

Record 7
Density functional theory data (GGA-PBEsol) for a geometry-optimized RuWS2 structure.

a = 5.915 Å, b = 5.915 Å, c = 5.915 Å
α = 90.00°, β = 90.00°, γ = 90.00°
Sites, in units of the cell vectors:
Ru: 0.000 0.000 0.000
Ru: 0.000 0.500 0.500
Ru: 0.500 0.000 0.500
Ru: 0.500 0.500 0.000
W: 0.000 0.000 0.500
W: 0.000 0.500 0.000
W: 0.500 0.000 0.000
W: 0.500 0.500 0.500
S: 0.250 0.250 0.250
S: 0.250 0.250 0.750
S: 0.250 0.750 0.250
S: 0.250 0.750 0.750
S: 0.750 0.250 0.250
S: 0.750 0.250 0.750
S: 0.750 0.750 0.250
S: 0.750 0.750 0.750

Properties
E_tot = -8.208 eV/atom
magnetic moment = 0.000 μB per atom
raw formation energy = -0.021 eV per atom
relative energy among the computed polymorphs = 0.0 meV per atom

=====

Record 8
Density functional theory data (GGA-PBEsol) for a geometry-optimized Ta2MnAg structure.

a = 2.824 Å, b = 3.904 Å, c = 5.718 Å
α = 90.00°, β = 98.42°, γ = 90.00°
Sites, in units of the cell vectors:
Ta: 0.079 0.000 0.277
Ta: 0.921 0.000 0.723
Mn: 0.500 0.500 0.500
Ag: 0.500 0.500 0.000

Properties
E_tot = -9.309 eV/atom
magnetic moment = 0.045 μB per atom
formation enthalpy at 0 K = 23 kJ/mol of atoms
relative energy among the computed polymorphs = 0.0 meV per atom